Below is CoPtRh2 after structural relaxation, with properties calculated at the PBE-GGA level.

Geometry as POSCAR:
```
CoPtRh2
1.0
2.7190 0.0000 0.0000
-1.3595 2.3548 0.0000
0.0000 0.0000 26.1357
Co Pt Rh
3 3 6
direct
0.0000 0.0000 0.0000 Co
0.3333 0.6667 0.6667 Co
0.6667 0.3333 0.3333 Co
0.0000 0.0000 0.5000 Pt
0.3333 0.6667 0.1667 Pt
0.6667 0.3333 0.8333 Pt
0.0000 0.0000 0.2558 Rh
0.0000 0.0000 0.7442 Rh
0.3333 0.6667 0.4108 Rh
0.3333 0.6667 0.9225 Rh
0.6667 0.3333 0.0775 Rh
0.6667 0.3333 0.5892 Rh
```

Summary:
For the uncorrected energy, the calculation gives -6.938 eV/atom. The symmetry is R-3m, No. 166. The value obtained for the volume is 167.3 Å³/cell. The value obtained for the spin magnetization is 0.7000 μB per atom. As for the formation energy: 0.025 eV/atom. The density of states at the Fermi level is 1.373 states/eV per atom.